(1)
Computed, not measured: a PBEsol-optimized structure of V5S8 at the meta-GGA SCAN level of DFT.

* DFT total energy: -13.75 eV per atom

Cell: 6.436 6.436 6.448 Å, 103.39 106.21 119.23°
Fractional coordinates of all 13 atoms:
S (0.783, 0.958, 0.243)
S (0.306, 0.982, 0.289)
V (0.205, 0.705, 0.500)
S (0.229, 0.561, 0.790)
S (0.217, 0.042, 0.757)
V (0.795, 0.295, 0.500)
S (0.771, 0.439, 0.210)
V (0.766, 0.724, 0.490)
V (0.000, 0.000, 0.000)
S (0.694, 0.018, 0.711)
S (0.715, 0.539, 0.757)
S (0.285, 0.461, 0.243)
V (0.234, 0.276, 0.510)



(2)
Computed, not measured: a PBEsol-optimized structure of YScMo2 at the meta-GGA SCAN level of DFT.

* DFT total energy: -27.47 eV per atom

Cell: 3.988 3.988 5.525 Å, 111.15 111.15 90.00°
Fractional coordinates of all 4 atoms:
Y (0.000, 0.000, 0.000)
Mo (0.750, 0.250, 0.500)
Sc (0.500, 0.500, 0.000)
Mo (0.250, 0.750, 0.500)



(3)
Computed, not measured: a PBEsol-optimized structure of ZrReRh2 at the meta-GGA SCAN level of DFT.

* DFT total energy: -42.53 eV per atom

Cell: 2.814 4.797 4.842 Å, 99.67 90.00 107.05°
Fractional coordinates of all 4 atoms:
Re (0.500, 0.000, 0.000)
Rh (0.245, 0.489, 0.230)
Rh (0.755, 0.511, 0.770)
Zr (0.000, 0.000, 0.500)



(4)
Computed, not measured: a PBEsol-optimized structure of Ba3P6N8O6 at the meta-GGA SCAN level of DFT.

* DFT total energy: -14.60 eV per atom

Cell: 6.319 7.408 7.408 Å, 120.00 90.00 90.00°
Fractional coordinates of all 23 atoms:
N (0.100, 0.306, 0.329)
Ba (0.384, 0.333, 0.667)
Ba (0.616, 0.667, 0.333)
N (0.100, 0.671, 0.977)
O (0.324, 0.367, 0.075)
Ba (0.500, 0.000, 0.000)
O (0.324, 0.708, 0.633)
P (0.896, 0.176, 0.775)
N (0.900, 0.694, 0.671)
N (0.900, 0.329, 0.023)
P (0.104, 0.400, 0.176)
P (0.896, 0.225, 0.400)
O (0.676, 0.292, 0.367)
N (0.100, 0.023, 0.694)
P (0.104, 0.775, 0.600)
P (0.896, 0.600, 0.824)
O (0.676, 0.633, 0.925)
N (0.074, 0.667, 0.333)
N (0.900, 0.977, 0.306)
O (0.676, 0.075, 0.708)
N (0.926, 0.333, 0.667)
O (0.324, 0.925, 0.292)
P (0.104, 0.824, 0.225)



(5)
Computed, not measured: a PBEsol-optimized structure of TaSi2Br at the meta-GGA SCAN level of DFT.

* DFT total energy: -25.94 eV per atom

Cell: 2.851 5.034 5.685 Å, 116.28 104.52 90.00°
Fractional coordinates of all 4 atoms:
Si (0.029, 0.029, 0.058)
Si (0.760, 0.260, 0.520)
Ta (0.492, 0.492, 0.984)
Br (0.218, 0.718, 0.437)



(6)
Computed, not measured: a PBEsol-optimized structure of ScZnSi at the meta-GGA SCAN level of DFT.

* DFT total energy: -13.13 eV per atom

Cell: 3.199 4.145 4.145 Å, 120.00 90.00 90.00°
Fractional coordinates of all 3 atoms:
Zn (0.500, 0.667, 0.333)
Si (0.500, 0.333, 0.667)
Sc (0.000, 0.000, 0.000)



(7)
Computed, not measured: a PBEsol-optimized structure of Zn2ReRu at the meta-GGA SCAN level of DFT.

* DFT total energy: -33.29 eV per atom

Cell: 2.832 2.832 6.833 Å, 90.00 90.00 90.00°
Fractional coordinates of all 4 atoms:
Re (0.000, 0.000, 0.510)
Zn (0.500, 0.500, 0.244)
Zn (0.000, 0.000, 0.999)
Ru (0.500, 0.500, 0.747)



(8)
Computed, not measured: a PBEsol-optimized structure of Li17Mn4As8 at the meta-GGA SCAN level of DFT.

* DFT total energy: -10.18 eV per atom

Cell: 6.003 8.501 8.520 Å, 89.47 90.02 89.99°
Fractional coordinates of all 29 atoms:
Li (0.967, 0.374, 0.629)
Li (0.517, 0.625, 0.393)
Li (0.990, 0.118, 0.857)
Li (0.032, 0.876, 0.087)
Mn (0.996, 0.875, 0.629)
Li (0.997, 0.631, 0.864)
As (0.252, 0.627, 0.627)
Mn (0.508, 0.122, 0.386)
Li (0.498, 0.115, 0.867)
Mn (0.503, 0.877, 0.625)
As (0.254, 0.129, 0.138)
Li (0.491, 0.877, 0.108)
Li (0.526, 0.374, 0.629)
As (0.745, 0.369, 0.369)
As (0.744, 0.380, 0.889)
Li (0.758, 0.625, 0.130)
Mn (0.498, 0.631, 0.869)
As (0.753, 0.878, 0.373)
Li (0.974, 0.622, 0.402)
As (0.251, 0.124, 0.622)
Li (0.760, 0.129, 0.124)
Li (0.247, 0.369, 0.878)
Li (0.003, 0.376, 0.130)
As (0.747, 0.871, 0.870)
Li (0.247, 0.380, 0.380)
Li (0.989, 0.126, 0.391)
Li (0.498, 0.376, 0.130)
Li (0.237, 0.867, 0.355)
As (0.256, 0.623, 0.129)



(9)
Computed, not measured: a PBEsol-optimized structure of CdIn at the meta-GGA SCAN level of DFT.

* DFT total energy: -31.81 eV per atom

Cell: 3.175 3.175 5.461 Å, 90.00 90.00 121.27°
Fractional coordinates of all 2 atoms:
Cd (0.000, 0.000, 0.000)
In (0.500, 0.500, 0.500)



(10)
Computed, not measured: a PBEsol-optimized structure of HgBrCl2 at the meta-GGA SCAN level of DFT.

* DFT total energy: -25.66 eV per atom

Cell: 4.961 4.971 4.961 Å, 119.93 90.00 119.93°
Fractional coordinates of all 4 atoms:
Cl (0.750, 0.500, 0.250)
Cl (0.250, 0.500, 0.750)
Hg (0.500, 0.000, 0.500)
Br (0.000, 0.000, 0.000)



(11)
Computed, not measured: a PBEsol-optimized structure of In2ReSb at the meta-GGA SCAN level of DFT.

* DFT total energy: -42.91 eV per atom

Cell: 4.183 4.183 4.579 Å, 90.00 90.00 90.00°
Fractional coordinates of all 4 atoms:
In (0.500, 0.000, 0.000)
Re (0.500, 0.500, 0.500)
In (0.000, 0.500, 0.000)
Sb (0.000, 0.000, 0.500)



(12)
Computed, not measured: a PBEsol-optimized structure of Ta5Mo2 at the meta-GGA SCAN level of DFT.

* DFT total energy: -57.61 eV per atom

Cell: 2.833 6.953 7.015 Å, 118.17 97.07 97.69°
Fractional coordinates of all 7 atoms:
Ta (0.431, 0.722, 0.071)
Ta (0.000, 0.000, 0.500)
Ta (0.569, 0.278, 0.929)
Mo (0.718, 0.857, 0.787)
Ta (0.162, 0.567, 0.356)
Ta (0.838, 0.433, 0.644)
Mo (0.282, 0.143, 0.213)